DFT (PBE-GGA) results for a relaxed LaAl2GaAu5 crystal.

Calculated values
The calculation puts the volume at 391.5 Å³ per cell. The calculation puts the density of states at the Fermi level at 5.89 states/eV per cell. The total magnetization comes out at 0.0 μB per cell.

Geometry as CIF:
```
data_LaAl2GaAu5
_chemical_formula_sum 'La2 Al4 Ga2 Au10'
_cell_length_a 4.773
_cell_length_b 6.068
_cell_length_c 13.520
_cell_angle_alpha 90.00
_cell_angle_beta 90.00
_cell_angle_gamma 90.00
_space_group_name_H-M_alt 'I m m m'
_space_group_IT_number 71
_space_group_name_Hall '-I 2 2'
loop_
_atom_site_label
_atom_site_type_symbol
_atom_site_fract_x
_atom_site_fract_y
_atom_site_fract_z
La1 La 0.000 0.000 0.000
Al1 Al 0.000 0.500 0.188
Ga1 Ga 0.000 0.000 0.500
Au1 Au 0.000 0.257 0.339
Au2 Au 0.000 0.500 0.000
```

=====

DFT (PBE-GGA) results for a relaxed La2Al3Ga4Au crystal.

Calculated values
The calculation puts the volume at 207.9 Å³ per cell. The calculation puts the density of states at the Fermi level at 3.29 states/eV per cell. The total magnetization comes out at 0.0 μB per cell.

Geometry as CIF:
```
data_La2Al3Ga4Au
_chemical_formula_sum 'La2 Al3 Ga4 Au1'
_cell_length_a 4.398
_cell_length_b 4.398
_cell_length_c 10.744
_cell_angle_alpha 90.00
_cell_angle_beta 90.00
_cell_angle_gamma 90.00
_space_group_name_H-M_alt 'P -4 m 2'
_space_group_IT_number 115
_space_group_name_Hall 'P -4 -2'
loop_
_atom_site_label
_atom_site_type_symbol
_atom_site_fract_x
_atom_site_fract_y
_atom_site_fract_z
La1 La 0.000 0.500 0.248
Al1 Al 0.000 0.500 0.869
Al2 Al 0.500 0.500 0.500
Ga1 Ga 0.000 0.000 0.000
Ga2 Ga 0.000 0.500 0.637
Ga3 Ga 0.500 0.500 0.000
Au1 Au 0.000 0.000 0.500
```

=====

DFT (PBE-GGA) results for a relaxed La2AlGa4Au3 crystal.

Calculated values
The calculation puts the volume at 211.2 Å³ per cell. The calculation puts the density of states at the Fermi level at 3.84 states/eV per cell. The total magnetization comes out at 0.0 μB per cell.

Geometry as CIF:
```
data_La2AlGa4Au3
_chemical_formula_sum 'La2 Al1 Ga4 Au3'
_cell_length_a 4.368
_cell_length_b 4.368
_cell_length_c 11.071
_cell_angle_alpha 90.00
_cell_angle_beta 90.00
_cell_angle_gamma 90.00
_space_group_name_H-M_alt 'P -4 m 2'
_space_group_IT_number 115
_space_group_name_Hall 'P -4 -2'
loop_
_atom_site_label
_atom_site_type_symbol
_atom_site_fract_x
_atom_site_fract_y
_atom_site_fract_z
La1 La 0.000 0.500 0.250
Al1 Al 0.000 0.000 0.500
Ga1 Ga 0.000 0.000 0.000
Ga2 Ga 0.000 0.500 0.637
Ga3 Ga 0.500 0.500 0.000
Au1 Au 0.000 0.500 0.866
Au2 Au 0.500 0.500 0.500
```

=====

DFT (PBE-GGA) results for a relaxed LaAl2GaAu crystal.

Calculated values
The calculation puts the volume at 210.3 Å³ per cell. The calculation puts the density of states at the Fermi level at 2.85 states/eV per cell. The total magnetization comes out at 0.0 μB per cell.

Geometry as CIF:
```
data_LaAl2GaAu
_chemical_formula_sum 'La2 Al4 Ga2 Au2'
_cell_length_a 4.368
_cell_length_b 4.414
_cell_length_c 10.905
_cell_angle_alpha 90.00
_cell_angle_beta 90.00
_cell_angle_gamma 90.00
_space_group_name_H-M_alt 'I m m 2'
_space_group_IT_number 44
_space_group_name_Hall 'I 2 -2'
loop_
_atom_site_label
_atom_site_type_symbol
_atom_site_fract_x
_atom_site_fract_y
_atom_site_fract_z
La1 La 0.000 0.000 0.000
Al1 Al 0.000 0.000 0.405
Al2 Al 0.000 0.500 0.259
Ga1 Ga 0.000 0.500 0.764
Au1 Au 0.000 0.000 0.634
```

=====

DFT (PBE-GGA) results for a relaxed La2AlGaAu6 crystal.

Calculated values
The calculation puts the volume at 229.6 Å³ per cell. The calculation puts the density of states at the Fermi level at 5.13 states/eV per cell. The total magnetization comes out at 0.0 μB per cell.

Geometry as CIF:
```
data_La2AlGaAu6
_chemical_formula_sum 'La2 Al1 Ga1 Au6'
_cell_length_a 5.600
_cell_length_b 6.939
_cell_length_c 7.043
_cell_angle_alpha 83.58
_cell_angle_beta 66.66
_cell_angle_gamma 66.23
_space_group_name_H-M_alt 'P -1'
_space_group_IT_number 2
_space_group_name_Hall '-P 1'
loop_
_atom_site_label
_atom_site_type_symbol
_atom_site_fract_x
_atom_site_fract_y
_atom_site_fract_z
La1 La 0.030 0.226 0.214
Al1 Al 0.500 0.000 0.500
Ga1 Ga 0.500 0.500 0.000
Au1 Au 0.004 0.227 0.763
Au2 Au 0.356 0.393 0.396
Au3 Au 0.496 0.774 0.235
```

=====

DFT (PBE-GGA) results for a relaxed La2AlGa3Au4 crystal.

Calculated values
The calculation puts the volume at 212.6 Å³ per cell. The calculation puts the density of states at the Fermi level at 5.45 states/eV per cell. The total magnetization comes out at 0.0 μB per cell.

Geometry as CIF:
```
data_La2AlGa3Au4
_chemical_formula_sum 'La2 Al1 Ga3 Au4'
_cell_length_a 4.498
_cell_length_b 4.498
_cell_length_c 10.510
_cell_angle_alpha 90.00
_cell_angle_beta 90.00
_cell_angle_gamma 90.00
_space_group_name_H-M_alt 'P -4 m 2'
_space_group_IT_number 115
_space_group_name_Hall 'P -4 -2'
loop_
_atom_site_label
_atom_site_type_symbol
_atom_site_fract_x
_atom_site_fract_y
_atom_site_fract_z
La1 La 0.000 0.500 0.246
Al1 Al 0.000 0.000 0.500
Ga1 Ga 0.000 0.500 0.868
Ga2 Ga 0.500 0.500 0.500
Au1 Au 0.000 0.000 0.000
Au2 Au 0.000 0.500 0.626
Au3 Au 0.500 0.500 0.000
```

=====

DFT (PBE-GGA) results for a relaxed La2Al4Ga3Au crystal.

Calculated values
The calculation puts the volume at 207.5 Å³ per cell. The calculation puts the density of states at the Fermi level at 2.56 states/eV per cell. The total magnetization comes out at 0.0 μB per cell.

Geometry as CIF:
```
data_La2Al4Ga3Au
_chemical_formula_sum 'La2 Al4 Ga3 Au1'
_cell_length_a 4.394
_cell_length_b 4.394
_cell_length_c 10.744
_cell_angle_alpha 90.00
_cell_angle_beta 90.00
_cell_angle_gamma 90.00
_space_group_name_H-M_alt 'P -4 m 2'
_space_group_IT_number 115
_space_group_name_Hall 'P -4 -2'
loop_
_atom_site_label
_atom_site_type_symbol
_atom_site_fract_x
_atom_site_fract_y
_atom_site_fract_z
La1 La 0.000 0.500 0.247
Al1 Al 0.000 0.000 0.500
Al2 Al 0.000 0.500 0.872
Al3 Al 0.500 0.500 0.500
Ga1 Ga 0.000 0.000 0.000
Ga2 Ga 0.000 0.500 0.636
Au1 Au 0.500 0.500 0.000
```

=====

DFT (PBE-GGA) results for a relaxed LaAlGa2Au5 crystal.

Calculated values
The calculation puts the volume at 399.6 Å³ per cell. The calculation puts the density of states at the Fermi level at 6.15 states/eV per cell. The total magnetization comes out at 0.0 μB per cell.

Geometry as CIF:
```
data_LaAlGa2Au5
_chemical_formula_sum 'La2 Al2 Ga4 Au10'
_cell_length_a 4.836
_cell_length_b 6.140
_cell_length_c 13.458
_cell_angle_alpha 90.00
_cell_angle_beta 90.00
_cell_angle_gamma 90.00
_space_group_name_H-M_alt 'I m m m'
_space_group_IT_number 71
_space_group_name_Hall '-I 2 2'
loop_
_atom_site_label
_atom_site_type_symbol
_atom_site_fract_x
_atom_site_fract_y
_atom_site_fract_z
La1 La 0.000 0.000 0.000
Al1 Al 0.000 0.000 0.500
Ga1 Ga 0.000 0.500 0.190
Au1 Au 0.000 0.264 0.350
Au2 Au 0.000 0.500 0.000
```

=====

DFT (PBE-GGA) results for a relaxed LuAlGaAu crystal.

Calculated values
The calculation puts the volume at 306.1 Å³ per cell. The calculation puts the density of states at the Fermi level at 1.02 states/eV per cell. The total magnetization comes out at 0.0 μB per cell.

Geometry as CIF:
```
data_LuAlGaAu
_chemical_formula_sum 'Lu4 Al4 Ga4 Au4'
_cell_length_a 6.740
_cell_length_b 6.740
_cell_length_c 6.740
_cell_angle_alpha 90.00
_cell_angle_beta 90.00
_cell_angle_gamma 90.00
_space_group_name_H-M_alt 'F -4 3 m'
_space_group_IT_number 216
_space_group_name_Hall 'F -4 2 3'
loop_
_atom_site_label
_atom_site_type_symbol
_atom_site_fract_x
_atom_site_fract_y
_atom_site_fract_z
Lu1 Lu 0.000 0.000 0.000
Al1 Al 0.000 0.000 0.500
Ga1 Ga 0.250 0.250 0.250
Au1 Au 0.250 0.250 0.750
```

=====

DFT (PBE-GGA) results for a relaxed Mg2AlGaAu6 crystal.

Calculated values
The calculation puts the volume at 194.4 Å³ per cell. The calculation puts the density of states at the Fermi level at 2.84 states/eV per cell. The total magnetization comes out at 0.0 μB per cell.

Geometry as CIF:
```
data_Mg2AlGaAu6
_chemical_formula_sum 'Mg2 Al1 Ga1 Au6'
_cell_length_a 5.581
_cell_length_b 5.640
_cell_length_c 7.652
_cell_angle_alpha 87.64
_cell_angle_beta 69.08
_cell_angle_gamma 61.12
_space_group_name_H-M_alt 'P -1'
_space_group_IT_number 2
_space_group_name_Hall '-P 1'
loop_
_atom_site_label
_atom_site_type_symbol
_atom_site_fract_x
_atom_site_fract_y
_atom_site_fract_z
Mg1 Mg 0.021 0.093 0.252
Al1 Al 0.500 0.500 0.000
Ga1 Ga 0.500 0.000 0.500
Au1 Au 0.024 0.583 0.308
Au2 Au 0.401 0.945 0.864
Au3 Au 0.495 0.612 0.328
```

=====

Electronic total energy, record by record: -34.9 -41.9 -42.3 -21.9 -42.0 -42.9 -42.8 -34.1 -16.7 -32.6 eV per formula unit
ΔE_f, record by record: -0.344 -0.539 -0.681 -0.646 -0.570 -0.712 -0.558 -0.328 -0.532 -0.302 eV per atom